DFT (PBE-GGA) results for a relaxed KPa2S4 crystal.

Structure (POSCAR):
```
KPa2S4
1.0
-4.243 4.243 4.299
4.243 -4.243 4.299
4.243 4.243 -4.299
K Pa S
2 4 8
Cartesian
0.000 0.000 0.000
0.000 4.243 2.149
2.121 -1.066 3.224
3.177 2.121 1.075
2.121 5.309 -1.075
1.066 2.121 5.374
5.676 0.675 0.560
3.567 2.809 -1.589
0.675 2.809 -0.560
0.675 1.434 2.710
3.567 1.434 3.738
1.434 -0.675 5.888
2.809 4.918 1.589
-1.434 3.567 4.859
```

Computed properties:
Spin magnetization in μB per cell: 6.08
Energy above the most stable polymorph in this dataset in eV per atom: 0.068
Fermi-level density of states in states/eV per cell: 16.083
E_form (uncorrected) in eV per atom: -1.48